Entry 1:
A geometry-optimized LaTcIr structure. Source: Alexandria, functional PBEsol.

abc: 2.923 2.923 6.805
angles: 102.40 102.40 90.00
Atoms (fractional coordinates):
Ir1 0.976 0.976 0.953
Tc1 0.358 0.358 0.716
La1 0.666 0.666 0.332

## Properties
D(E_F) (states/eV per cell): 2.35
V (Å³ per cell): 55
Electronic total energy (Ry per atom): -0.6433
E above lowest polymorph (meV per atom): 0.0
E_form (meV per atom): 59


Entry 2:
A geometry-optimized La4TeIr structure. Source: Alexandria, functional PBEsol.

abc: 6.118 6.118 6.118
angles: 60.00 60.00 60.00
Atoms (fractional coordinates):
La1 0.875 0.375 0.375
La2 0.375 0.875 0.375
La3 0.375 0.375 0.875
La4 0.375 0.375 0.375
Te1 0.750 0.750 0.750
Ir1 0.000 0.000 0.000

## Properties
D(E_F) (states/eV per cell): 8.09
Formation energy without anion corrections (eV per atom): 0.22
V (Å³ per cell): 162
Electronic total energy (Ry per atom): -0.4092


Entry 3:
A geometry-optimized LaTe2Ir structure. Source: Alexandria, functional PBEsol.

abc: 3.887 3.887 6.578
angles: 90.00 90.00 90.00
Atoms (fractional coordinates):
Te1 0.000 0.000 0.997
Te2 0.500 0.500 0.317
Ir1 0.000 0.000 0.412
La1 0.500 0.500 0.775

## Properties
D(E_F) (states/eV per cell): 2.37
Formation energy without anion corrections (eV per atom): -0.50
V (Å³ per cell): 99
Electronic total energy (Ry per atom): -0.4448
E above lowest polymorph (meV per atom): 263.2


Entry 4:
A geometry-optimized LaTe2Ir structure. Source: Alexandria, functional PBEsol.

abc: 4.432 4.432 6.388
angles: 69.70 69.70 60.00
Atoms (fractional coordinates):
Te1 0.771 0.771 0.688
Te2 0.229 0.229 0.312
La1 0.000 0.000 0.000
Ir1 0.500 0.500 0.500

## Properties
D(E_F) (states/eV per cell): 4.13
Formation energy without anion corrections (eV per atom): -0.52
V (Å³ per cell): 100
Electronic total energy (Ry per atom): -0.4462
E above lowest polymorph (meV per atom): 243.2


Entry 5:
A geometry-optimized LaTe2Ir structure. Source: Alexandria, functional PBEsol.

abc: 6.459 6.493 6.493
angles: 75.68 60.17 60.17
Atoms (fractional coordinates):
La1 0.500 0.000 0.000
La2 0.250 0.500 0.500
Te1 0.875 0.428 0.072
Te2 0.053 0.072 0.572
Te3 0.697 0.928 0.428
Te4 0.375 0.572 0.928
Ir1 0.750 0.500 0.500
Ir2 0.000 0.000 0.000

## Properties
D(E_F) (states/eV per cell): 2.85
Formation energy without anion corrections (eV per atom): -0.76
V (Å³ per cell): 205
Electronic total energy (Ry per atom): -0.4641
E above lowest polymorph (meV per atom): 0.0


Entry 6:
A geometry-optimized La3TeIr structure. Source: Alexandria, functional PBEsol.

abc: 5.744 5.744 5.744
angles: 90.00 90.00 90.00
Atoms (fractional coordinates):
Te1 0.000 0.000 0.000
La1 0.500 0.000 0.000
La2 0.000 0.500 0.000
La3 0.000 0.000 0.500
Ir1 0.500 0.500 0.500

## Properties
D(E_F) (states/eV per cell): 9.66
Formation energy without anion corrections (eV per atom): 0.57
V (Å³ per cell): 190
Electronic total energy (Ry per atom): -0.3898


Entry 7:
A geometry-optimized La2TeIr structure. Source: Alexandria, functional PBEsol.

abc: 4.236 4.236 7.854
angles: 74.36 74.36 60.00
Atoms (fractional coordinates):
La1 0.264 0.264 0.209
La2 0.736 0.736 0.791
Te1 0.500 0.500 0.500
Ir1 0.000 0.000 0.000

## Properties
D(E_F) (states/eV per cell): 2.18
Formation energy without anion corrections (eV per atom): -1.10
V (Å³ per cell): 116
Electronic total energy (Ry per atom): -0.5223


Entry 8:
A geometry-optimized LaTeIr4 structure. Source: Alexandria, functional PBEsol.

abc: 5.357 5.357 5.357
angles: 60.00 60.00 60.00
Atoms (fractional coordinates):
La1 0.750 0.750 0.750
Ir1 0.375 0.375 0.875
Ir2 0.375 0.875 0.375
Ir3 0.875 0.375 0.375
Ir4 0.375 0.375 0.375
Te1 0.000 0.000 0.000

## Properties
D(E_F) (states/eV per cell): 6.31
Formation energy without anion corrections (eV per atom): -0.09
V (Å³ per cell): 109
Electronic total energy (Ry per atom): -0.5965